PBE BaNd2Er, optimized geometry; energy relative to the elements = 11 kJ/mol of atoms; symmetry = No. 123; energy relative to the lowest polymorph listed for this composition = 0.0000 eV per atom
1.0
3.7652 0.0000 0.0000
0.0000 3.7652 0.0000
0.0000 0.0000 10.8510
Er Ba Nd
1 1 2
direct
0.5000 0.5000 0.0000 Er
0.5000 0.5000 0.5000 Ba
0.0000 0.0000 0.7839 Nd
0.0000 0.0000 0.2162 Nd

PBE Pu2Ga6Ir, optimized geometry; energy relative to the elements = -44 kJ/mol of atoms; symmetry = No. 225
1.0
-1.1155 5.2215 3.2142
-4.9993 0.3737 3.7022
0.7034 0.0597 6.1905
Ga Pu Ir
6 2 1
direct
0.7834 0.7834 0.2167 Ga
0.2165 0.7836 0.7834 Ga
0.2164 0.7835 0.2166 Ga
0.2166 0.2166 0.7833 Ga
0.7835 0.2164 0.2166 Ga
0.7836 0.2165 0.7834 Ga
0.7500 0.7500 0.7502 Pu
0.2500 0.2500 0.2498 Pu
0.5000 0.5000 0.5000 Ir

PBE CaB3O, optimized geometry; symmetry = No. 221; formation energy without anion corrections = 1.5061 eV/atom; energy relative to the lowest polymorph listed for this composition = 0.0000 eV per atom
1.0
3.9476 0.0000 0.0000
0.0000 3.9476 0.0000
0.0000 0.0000 3.9476
B O Ca
3 1 1
direct
0.0000 0.0000 0.5000 B
0.0000 0.5000 0.0000 B
0.5000 0.0000 0.0000 B
0.0000 0.0000 0.0000 O
0.5000 0.5000 0.5000 Ca

PBE K2Ag2BiTe4, optimized geometry; symmetry = No. 12; formation energy without anion corrections = -0.4819 eV/atom
1.0
-2.7970 1.2840 3.2033
-3.2856 -7.7298 -2.8505
6.0128 -1.2571 5.7539
Te Bi Ag K
4 1 2 2
direct
0.1965 0.3930 0.2001 Te
0.8035 0.6070 0.7999 Te
0.4830 0.9660 0.2529 Te
0.5170 0.0340 0.7471 Te
0.0000 0.0000 0.0000 Bi
0.6903 0.3805 0.9826 Ag
0.3097 0.6195 0.0174 Ag
0.1340 0.2681 0.5682 K
0.8660 0.7319 0.4318 K

Results for energy: -3.89; -6.64; -3.89; -3.19 (in eV/atom, following the order of the records).